BaY2AlW at its PBEsol-relaxed geometry, computed with SCAN.

**Crystal system**: tetragonal
**SG**: P4/mmm, No. 123
**Energy of formation from the pure elements**: 2.00 eV per atom

Cell: 5.0056 5.4460 5.4460 Å, 90.00 90.00 90.00°
With the nearest neighbours (Å) after each atom.
Element x y z (fractional)
Y (0.0000, 0.0000, 0.5000)  2 Ba 2.72
Y (0.0000, 0.5000, 0.0000)  2 Ba 2.72
Ba (0.0000, 0.0000, 0.0000)  2 W 2.50, 4 Y 2.72
W (0.5000, 0.0000, 0.0000)  2 Ba 2.50
Al (0.5000, 0.5000, 0.5000)  8 Y 3.70, 4 W 3.85

***

Ba2YAl at its PBEsol-relaxed geometry, computed with SCAN.

**Crystal system**: trigonal
**SG**: R3m, No. 160
**Energy of formation from the pure elements**: 0.14 eV per atom

Cell: 3.8819 3.8819 11.9363 Å, 80.64 80.64 60.00°
With the nearest neighbours (Å) after each atom.
Element x y z (fractional)
Y (0.5174, 0.5174, 0.4478)  3 Al 3.06
Ba (0.9817, 0.9817, 0.0549)  3 Al 3.38
Ba (0.7577, 0.7577, 0.7268)  6 Ba 3.88, 3 Y 3.97
Al (0.2432, 0.2432, 0.2705)  3 Y 3.06, 3 Ba 3.38

***

BaAl2Zn at its PBEsol-relaxed geometry, computed with SCAN.

**Crystal system**: monoclinic
**SG**: P2/m, No. 10
**Energy of formation from the pure elements**: -0.04 eV per atom

Cell: 3.2465 4.2647 7.0912 Å, 90.00 102.44 90.00°
With the nearest neighbours (Å) after each atom.
Element x y z (fractional)
Zn (0.0000, 0.5000, 0.5000)  4 Al 2.57
Ba (0.5000, 0.5000, 0.0000)  2 Ba 3.25, 8 Al 3.50-3.55, 2 Zn 3.57
Al (0.8275, 0.0000, 0.6699)  2 Zn 2.57, 2 Al 2.85-2.87
Al (0.1725, 0.0000, 0.3301)  2 Zn 2.57, 2 Al 2.85-2.87

***

Ba3AlZn at its PBEsol-relaxed geometry, computed with SCAN.

**Crystal system**: cubic
**SG**: Pm-3m, No. 221
**Energy of formation from the pure elements**: 0.24 eV per atom

Cell: 6.1413 6.1413 6.1413 Å, 90.00 90.00 90.00°
With the nearest neighbours (Å) after each atom.
Element x y z (fractional)
Zn (0.0000, 0.0000, 0.0000)  6 Ba 3.07
Ba (0.0000, 0.5000, 0.0000)  2 Zn 3.07
Ba (0.0000, 0.0000, 0.5000)  2 Zn 3.07
Ba (0.5000, 0.0000, 0.0000)  2 Zn 3.07
Al (0.5000, 0.5000, 0.5000)  12 Ba 4.34

***

BaAlZn2 at its PBEsol-relaxed geometry, computed with SCAN.

**Crystal system**: monoclinic
**SG**: Cm, No. 8
**Energy of formation from the pure elements**: -0.23 eV per atom

Cell: 4.3439 4.3226 6.5218 Å, 109.55 90.00 120.16°
With the nearest neighbours (Å) after each atom.
Element x y z (fractional)
Zn (0.9426, 0.8851, 0.8276)  3 Zn 2.52, 3 Al 2.70-2.72
Zn (0.2584, 0.5167, 0.7744)  3 Zn 2.52, 3 Al 2.60-2.61
Ba (0.7485, 0.4970, 0.2467)  4 Al 3.49-3.58, 7 Zn 3.49-3.79
Al (0.5505, 0.1011, 0.6513)  6 Zn 2.60-2.72

***

BaAlZn2 at its PBEsol-relaxed geometry, computed with SCAN.

**Crystal system**: trigonal
**SG**: R-3m, No. 166
**Energy of formation from the pure elements**: -0.24 eV per atom

Cell: 4.3833 4.3881 6.3597 Å, 110.13 90.00 119.96°
With the nearest neighbours (Å) after each atom.
Element x y z (fractional)
Zn (0.6980, 0.3959, 0.5936)  3 Al 2.59, 3 Zn 2.76
Zn (0.3020, 0.6041, 0.4064)  3 Al 2.59, 3 Zn 2.76
Ba (0.5000, 0.0000, 0.0000)  8 Zn 3.46-3.47, 6 Al 3.86-3.87
Al (0.0000, 0.0000, 0.5000)  6 Zn 2.59

***

BaAl2Zn at its PBEsol-relaxed geometry, computed with SCAN.

**Crystal system**: trigonal
**SG**: R3m, No. 160
**Energy of formation from the pure elements**: -0.19 eV per atom

Cell: 4.3985 4.3985 6.5502 Å, 70.38 70.38 60.00°
With the nearest neighbours (Å) after each atom.
Element x y z (fractional)
Zn (0.6934, 0.6934, 0.9198)  6 Al 2.55-2.82
Ba (0.4979, 0.4979, 0.5063)  7 Al 3.43-3.73, 4 Zn 3.54-3.56
Al (0.0171, 0.0171, 0.9487)  3 Zn 2.55, 3 Al 2.75
Al (0.2920, 0.2920, 0.1240)  3 Al 2.75, 3 Zn 2.82

***

BaAlZn2 at its PBEsol-relaxed geometry, computed with SCAN.

**Crystal system**: monoclinic
**SG**: P2/m, No. 10
**Energy of formation from the pure elements**: -0.01 eV per atom

Cell: 3.3467 4.3119 6.6465 Å, 90.00 102.51 90.00°
With the nearest neighbours (Å) after each atom.
Element x y z (fractional)
Zn (0.6872, 0.0000, 0.8277)  2 Al 2.58, 2 Zn 2.75-2.84
Zn (0.3128, 0.0000, 0.1723)  2 Al 2.58, 2 Zn 2.75-2.84
Ba (0.0000, 0.5000, 0.5000)  2 Ba 3.35, 2 Al 3.38, 8 Zn 3.39-3.54
Al (0.5000, 0.5000, 0.0000)  4 Zn 2.58

***

BaAl2Zn at its PBEsol-relaxed geometry, computed with SCAN.

**Crystal system**: trigonal
**SG**: R-3m, No. 166
**Energy of formation from the pure elements**: -0.19 eV per atom

Cell: 4.3295 4.3295 6.7261 Å, 71.23 71.23 60.00°
With the nearest neighbours (Å) after each atom.
Element x y z (fractional)
Zn (0.5000, 0.5000, 0.5000)  6 Al 2.60
Ba (0.0000, 0.0000, 0.0000)  8 Al 3.47-3.83
Al (0.7955, 0.7955, 0.6135)  3 Zn 2.60, 3 Al 2.87
Al (0.2045, 0.2045, 0.3865)  3 Zn 2.60, 3 Al 2.87

***

Ba2ZrAl at its PBEsol-relaxed geometry, computed with SCAN.

**Crystal system**: tetragonal
**SG**: P4mm, No. 99
**Energy of formation from the pure elements**: 0.10 eV per atom

Cell: 3.8259 3.8259 9.4776 Å, 90.00 90.00 90.00°
With the nearest neighbours (Å) after each atom.
Element x y z (fractional)
Ba (0.0000, 0.0000, 0.9294)  1 Zr 3.32, 4 Al 3.60
Ba (0.5000, 0.5000, 0.3134)  1 Al 3.46, 4 Zr 3.70, 4 Ba 3.83
Zr (0.0000, 0.0000, 0.5791)  4 Al 2.86
Al (0.5000, 0.5000, 0.6781)  4 Zr 2.86

***

Ba2ZrAl at its PBEsol-relaxed geometry, computed with SCAN.

**Crystal system**: trigonal
**SG**: R-3m, No. 166
**Energy of formation from the pure elements**: 0.61 eV per atom

Cell: 3.5754 3.5754 11.6609 Å, 81.18 81.18 60.00°
With the nearest neighbours (Å) after each atom.
Element x y z (fractional)
Ba (0.2528, 0.2528, 0.2417)  3 Al 3.46, 6 Ba 3.58, 3 Zr 3.61
Ba (0.7472, 0.7472, 0.7583)  3 Al 3.46, 6 Ba 3.58, 3 Zr 3.61
Zr (0.5000, 0.5000, 0.5000)  6 Zr 3.58, 6 Ba 3.61
Al (0.0000, 0.0000, 0.0000)  6 Ba 3.46, 6 Al 3.58

***

Ba3ZrAl at its PBEsol-relaxed geometry, computed with SCAN.

**Crystal system**: cubic
**SG**: Pm-3m, No. 221
**Energy of formation from the pure elements**: 0.88 eV per atom

Cell: 6.0305 6.0305 6.0305 Å, 90.00 90.00 90.00°
With the nearest neighbours (Å) after each atom.
Element x y z (fractional)
Ba (0.0000, 0.5000, 0.0000)  2 Zr 3.02
Ba (0.0000, 0.0000, 0.5000)  2 Zr 3.02
Ba (0.5000, 0.0000, 0.0000)  2 Zr 3.02
Zr (0.0000, 0.0000, 0.0000)  6 Ba 3.02
Al (0.5000, 0.5000, 0.5000)  12 Ba 4.26

***

Ba2ZrAl at its PBEsol-relaxed geometry, computed with SCAN.

**Crystal system**: tetragonal
**SG**: I-42d, No. 122
**Energy of formation from the pure elements**: 0.72 eV per atom

Cell: 6.2921 7.1191 7.1191 Å, 78.74 63.77 63.77°
With the nearest neighbours (Å) after each atom.
Element x y z (fractional)
Ba (0.1353, 0.9897, 0.4897)  2 Ba 3.15, 2 Al 3.23, 2 Zr 3.35
Ba (0.6147, 0.0103, 0.5103)  2 Ba 3.15, 2 Al 3.23, 2 Zr 3.35
Ba (0.3750, 0.4897, 0.0103)  2 Ba 3.15, 2 Al 3.23, 2 Zr 3.35
Ba (0.8750, 0.5103, 0.9897)  2 Ba 3.15, 2 Al 3.23, 2 Zr 3.35
Zr (0.7500, 0.5000, 0.5000)  2 Al 3.15, 4 Ba 3.35
Zr (0.0000, 0.0000, 0.0000)  2 Al 3.15, 4 Ba 3.35
Al (0.2500, 0.5000, 0.5000)  2 Zr 3.15, 4 Ba 3.23
Al (0.5000, 0.0000, 0.0000)  2 Zr 3.15, 4 Ba 3.23

***

Ba2ZrAl at its PBEsol-relaxed geometry, computed with SCAN.

**Crystal system**: monoclinic
**SG**: Cm, No. 8
**Energy of formation from the pure elements**: 0.28 eV per atom

Cell: 3.5464 6.1461 6.6892 Å, 110.42 105.37 90.00°
With the nearest neighbours (Å) after each atom.
Element x y z (fractional)
Ba (0.9657, 0.9237, 0.9314)  3 Al 3.51-3.65, 3 Ba 3.55-3.73, 4 Zr 3.64-3.75
Ba (0.7686, 0.3053, 0.5373)  1 Zr 3.42, 3 Ba 3.55-3.73, 4 Al 3.57-3.65
Zr (0.5513, 0.4990, 0.1026)  2 Al 2.80
Al (0.2144, 0.7721, 0.4288)  2 Zr 2.80

***

Ba2ZrAl at its PBEsol-relaxed geometry, computed with SCAN.

**Crystal system**: cubic
**SG**: F-43m, No. 216
**Energy of formation from the pure elements**: 0.40 eV per atom

Cell: 5.5607 5.5607 5.5607 Å, 60.00 60.00 60.00°
With the nearest neighbours (Å) after each atom.
Element x y z (fractional)
Ba (0.0000, 0.0000, 0.0000)  4 Zr 3.41, 4 Ba 3.41
Ba (0.7500, 0.7500, 0.7500)  4 Al 3.41, 4 Ba 3.41
Zr (0.2500, 0.2500, 0.2500)  4 Ba 3.41, 4 Al 3.41
Al (0.5000, 0.5000, 0.5000)  4 Ba 3.41, 4 Zr 3.41